PaICl (PBE, optimized geometry); formation energy from raw total energies = -3.4 eV/f.u.; excess energy over the best structure of this formula in the dataset = 0 meV/atom; total DFT energy (no corrections) = -5.44 eV per atom; space group = P-1, No. 2
1.0
-2.8887 -2.1683 0.3017
2.1030 -2.0453 5.4347
-4.3591 3.7577 7.5708
Pa Cl I
2 2 2
direct
0.2494 0.2545 0.0011
0.7506 0.7455 0.9989
0.1338 0.4412 0.2269
0.8662 0.5588 0.7731
0.3910 0.0905 0.7247
0.6090 0.9095 0.2753

***

ZrTaTc2As (PBE, optimized geometry); total DFT energy (no corrections) = -7.21 eV per atom; space group = P4/mmm, No. 123; formation enthalpy at 0 K = 9.7 eV/f.u.
1.0
4.7359 0.0000 0.0000
0.0000 5.0536 0.0000
0.0000 0.0000 4.7359
Zr Ta Tc As
1 1 2 1
direct
0.0000 0.0000 0.0000
0.0000 0.5000 0.0000
0.5000 0.0000 0.0000
0.0000 0.0000 0.5000
0.5000 0.5000 0.5000